K2TiBiW: optimized geometry, GGA-PBE.

As for the density of states at the Fermi level: 13.61 states/eV per cell. As for the symmetry: P4/mmm (123). The raw total energy comes out at -3.602 eV per atom. The distance to the lowest polymorph of the same formula is 13 meV/atom. The total magnetization comes out at 3.0 Bohr magnetons per cell. Its formation enthalpy at 0 K is 1.7824 eV/atom. Its crystal system is tetragonal.

Lattice parameters (Å, degrees): 6.6394 5.3143 6.6394 90.00 90.00 90.00
Last column: nearest neighbours and their distance in Å.
Sites, in units of the cell vectors:
K  0.0000  0.0000  0.5000  2 W 3.32
K  0.5000  0.0000  0.0000  2 W 3.32
Bi  0.0000  0.5000  0.0000  2 W 2.66
W  0.0000  0.0000  0.0000  2 Bi 2.66
Ti  0.5000  0.5000  0.5000  8 K 4.25, 4 Bi 4.69